Entry 1:
First-principles (GGA-PBE) data for crystalline Pm12CoPb6 at its relaxed geometry, as listed in Alexandria.

Properties
- crystal system = trigonal
- formation enthalpy at 0 K (meV/atom) = -315
- SG = R-3 (148)
- magnetic moment (μB per formula unit) = 0.000

Unit cell a=8.5894 b=8.5894 c=8.5894 alpha=91.99 beta=91.99 gamma=91.99
Atoms (fractional coordinates):
Pm 0.8002 0.5812 0.4502
Pm 0.9200 0.6978 0.0417
Pm 0.5498 0.1998 0.4188
Pm 0.6978 0.0417 0.9200
Pb 0.7413 0.3633 0.1355
Pb 0.3633 0.1355 0.7413
Pm 0.9583 0.0800 0.3022
Pm 0.5812 0.4502 0.8002
Pm 0.4188 0.5498 0.1998
Pb 0.2587 0.6367 0.8645
Pm 0.4502 0.8002 0.5812
Pm 0.1998 0.4188 0.5498
Co 0.0000 0.0000 0.0000
Pb 0.6367 0.8645 0.2587
Pm 0.3022 0.9583 0.0800
Pm 0.0800 0.3022 0.9583
Pb 0.1355 0.7413 0.3633
Pm 0.0417 0.9200 0.6978
Pb 0.8645 0.2587 0.6367


Entry 2:
First-principles (GGA-PBE) data for crystalline KAc2Se3 at its relaxed geometry, as listed in Alexandria.

Properties
- crystal system = hexagonal
- excess energy over the best structure of this formula in the dataset (meV per atom) = 0.0
- SG = P6_3/mmc (194)
- magnetic moment (μB per formula unit) = 0.000
- formation energy (no corrections) (meV per atom) = -1815

Unit cell a=4.5059 b=4.5059 c=23.1029 alpha=90.00 beta=90.00 gamma=120.00
Atoms (fractional coordinates):
Se 0.0000 0.0000 0.0000
Ac 0.6667 0.3333 0.0803
Ac 0.3333 0.6667 0.5803
Se 0.6667 0.3333 0.6543
Ac 0.6667 0.3333 0.4197
Ac 0.3333 0.6667 0.9197
K 0.0000 0.0000 0.2500
Se 0.6667 0.3333 0.8457
Se 0.3333 0.6667 0.3457
Se 0.3333 0.6667 0.1543
Se 0.0000 0.0000 0.5000
K 0.0000 0.0000 0.7500